Below is a relaxed TmFeGe2O7 crystal, with properties calculated at the PBE+U level.

Cell: 10.796 8.722 6.628 Å, 90.00 116.32 90.00°
Space group C2/m (No. 12)
Symmetry-distinct sites (fractional):
Tm1 0.000 0.201 0.000 [4 per cell]
Fe1 0.000 0.304 0.500 [4 per cell]
Ge1 0.195 0.500 0.922 [4 per cell]
Ge2 0.216 0.000 0.511 [4 per cell]
O1 0.106 0.323 0.833 [8 per cell]
O2 0.110 0.164 0.397 [8 per cell]
O3 0.131 0.000 0.032 [4 per cell]
O4 0.136 0.500 0.549 [4 per cell]
O5 0.189 0.500 0.192 [4 per cell]

Values from the calculation:
D(E_F) (states/eV/f.u.): 0.0
Volume (A^3/atom): 12.7
Crystal system: monoclinic
Electronic total energy (eV for the cell shown): -308.7